Material: Mg2AlTe
Method: DFT, PBE-GGA
State: optimized geometry

The structure in POSCAR format:
```
Mg2AlTe
1.0
5.535 -0.059 0.041
1.727 5.258 -0.041
-3.193 -3.212 3.182
Mg Te Al
2 1 1
direct
0.495 0.495 0.000
0.005 0.005 0.000
0.750 0.250 0.500
0.250 0.750 0.500
```

Properties
Formation energy (no corrections) ... -0.05 eV per atom
ΔE to the lowest computed polymorph ... 85 meV per atom
Density of states at the Fermi level ... 1.73 states/eV per cell